VASP calculation (PBE-GGA) on a geometry-optimized La3AsH structure.

Cell: 4.908 4.908 4.908 Å, 90.00 90.00 90.00°
Fractional positions:
H 0.000 0.000 0.000
As 0.500 0.500 0.500
La 0.000 0.500 0.000
La 0.000 0.000 0.500
La 0.500 0.000 0.000

For the total DFT energy (no corrections), the calculation gives -5.141 eV/atom.



VASP calculation (PBE-GGA) on a geometry-optimized AcBi2Pd structure.

Cell: 5.483 5.483 5.483 Å, 60.00 60.00 60.00°
Fractional positions:
Ac 0.000 0.000 0.000
Bi 0.250 0.250 0.250
Bi 0.750 0.750 0.750
Pd 0.500 0.500 0.500

The formation enthalpy at 0 K comes out at -0.29 eV/atom.



VASP calculation (PBE-GGA) on a geometry-optimized Y2CrIr structure.

Cell: 4.874 4.874 4.874 Å, 60.00 60.00 60.00°
Site moments in Bohr magnetons follow the coordinates.
Fractional positions:
Cr 0.500 0.500 0.500  3.50
Ir 0.750 0.750 0.750  0.18
Y 0.000 0.000 0.000  -0.01
Y 0.250 0.250 0.250  0.20

The formation enthalpy at 0 K comes out at 0.06 eV/atom.



VASP calculation (PBE-GGA) on a geometry-optimized HfZr3Ge structure.

Cell: 5.031 5.031 5.031 Å, 90.00 90.00 90.00°
Fractional positions:
Ge 0.000 0.000 0.000
Hf 0.500 0.500 0.500
Zr 0.000 0.500 0.000
Zr 0.000 0.000 0.500
Zr 0.500 0.000 0.000

The formation enthalpy at 0 K comes out at 0.32 eV/atom.



VASP calculation (PBE-GGA) on a geometry-optimized TaRe2Se structure.

Cell: 2.823 2.823 9.048 Å, 90.00 90.00 112.51°
Fractional positions:
Re 0.000 0.000 0.989
Re 0.000 0.000 0.511
Se 0.500 0.500 0.250
Ta 0.500 0.500 0.750

As for the energy relative to the elements, uncorrected: 0.4235 eV per atom.



VASP calculation (PBE-GGA) on a geometry-optimized ErTm4In structure.

Cell: 8.630 8.630 8.630 Å, 98.79 98.79 133.97°
Fractional positions:
Er 0.787 0.787 0.000
Er 0.537 0.037 0.500
Tm 0.236 0.972 0.736
Tm 0.734 0.470 0.736
Tm 0.722 0.486 0.236
Tm 0.220 0.984 0.236
Tm 0.251 0.486 0.764
Tm 0.748 0.984 0.764
Tm 0.734 0.998 0.264
Tm 0.236 0.501 0.264
In 0.272 0.272 0.000
In 0.022 0.522 0.500

The formation enthalpy at 0 K comes out at 0.53 eV/atom.



VASP calculation (PBE-GGA) on a geometry-optimized TaSCl2 structure.

Cell: 4.516 4.516 4.516 Å, 60.00 60.00 60.00°
Fractional positions:
S 0.000 0.000 0.000
Cl 0.250 0.250 0.250
Cl 0.750 0.750 0.750
Ta 0.500 0.500 0.500

As for the energy relative to the elements, uncorrected: 0.3659 eV per atom.



VASP calculation (PBE-GGA) on a geometry-optimized InGeBi2O6 structure.

Cell: 5.515 6.150 8.130 Å, 90.00 90.58 90.00°
Fractional positions:
In 0.000 0.500 0.500
In 0.500 0.000 0.000
Ge 0.000 0.500 0.000
Ge 0.500 0.000 0.500
Bi 0.988 0.944 0.272
Bi 0.512 0.444 0.228
Bi 0.488 0.556 0.772
Bi 0.012 0.056 0.728
O 0.895 0.439 0.772
O 0.820 0.242 0.074
O 0.808 0.165 0.473
O 0.692 0.665 0.027
O 0.680 0.742 0.426
O 0.605 0.939 0.728
O 0.395 0.061 0.272
O 0.320 0.258 0.574
O 0.308 0.335 0.973
O 0.180 0.758 0.926
O 0.192 0.835 0.527
O 0.105 0.561 0.228

As for the energy relative to the elements, uncorrected: -1.2323 eV per atom.



Number 1: volume 118.2 Å³ per cell. Number 2: volume 116.5 Å³ per cell. Number 3: volume 81.9 Å³ per cell. Number 4: volume 127.3 Å³ per cell. Number 5: volume 66.6 Å³ per cell. Number 6: volume 425.8 Å³ per cell. Number 7: volume 65.1 Å³ per cell. Number 8: volume 275.8 Å³ per cell.